# Mg3ZrRh | Alexandria | SCAN | PBEsol geometry
data_Mg3ZrRh
_cell_length_a 4.7621
_cell_length_b 4.7621
_cell_length_c 4.7621
_cell_angle_alpha 90.00
_cell_angle_beta 90.00
_cell_angle_gamma 90.00
_space_group_name_H-M_alt 'P 1'
_space_group_IT_number 1
loop_
_space_group_symop_operation_xyz
'x,y,z'
loop_
_atom_site_label
_atom_site_type_symbol
_atom_site_fract_x
_atom_site_fract_y
_atom_site_fract_z
_atom_site_occupancy
Mg1 Mg 0.0000 0.0000 0.5000 1
Mg2 Mg 0.0000 0.5000 0.0000 1
Mg3 Mg 0.5000 0.0000 0.0000 1
Zr1 Zr 0.5000 0.5000 0.5000 1
Rh1 Rh 0.0000 0.0000 0.0000 1
# - DOS(E_F): 4.34 states/eV per cell
# - Energy of formation: 0.14 eV per atom